(1)
A plane-wave DFT calculation with PBE was carried out for CuSi2Br after structural relaxation.

The space group is P4/mmm (No. 123) and the conventional cell measures 3.486, 3.486 and 7.779 Å, with angles of 90.00, 90.00 and 90.00 degrees. The distinct sites, in fractional coordinates, are Cu at (0.000, 0.000, 0.000), Si at (0.000, 0.500, 0.500) and Br at (0.500, 0.500, 0.000).

As for the density: 3.51 g/cm3. The energy relative to the lowest polymorph listed for this composition comes out at 0.329 eV/atom. The density of states at the Fermi level comes out at 1.64 states/eV/cell. The uncorrected formation energy is 478 meV/atom.

(2)
A plane-wave DFT calculation with PBE was carried out for CuSi2Br after structural relaxation.

The space group is Cmmm (No. 65) and the conventional cell measures 4.131, 5.277 and 6.780 Å, with angles of 90.00, 90.00 and 90.00 degrees. The distinct sites, in fractional coordinates, are Cu at (0.000, 0.000, 0.000), Si at (0.000, 0.500, 0.187) and Br at (0.000, 0.000, 0.500).

As for the density: 4.49 g/cm3. The energy relative to the lowest polymorph listed for this composition comes out at 0.364 eV/atom. The density of states at the Fermi level comes out at 2.40 states/eV/cell. The uncorrected formation energy is 513 meV/atom.

(3)
A plane-wave DFT calculation with PBE was carried out for SrCuSiBr2 after structural relaxation.

The space group is P4/mmm (No. 123) and the conventional cell measures 5.324, 5.324 and 4.643 Å, with angles of 90.00, 90.00 and 90.00 degrees. The distinct sites, in fractional coordinates, are Sr at (0.000, 0.000, 0.000), Cu at (0.500, 0.500, 0.500), Si at (0.500, 0.500, 0.000) and Br at (0.000, 0.500, 0.500).

As for the density: 4.28 g/cm3. The density of states at the Fermi level comes out at 3.81 states/eV/cell. The uncorrected formation energy is -331 meV/atom.

(4)
A plane-wave DFT calculation with PBE was carried out for ZrCu2SiBr after structural relaxation.

The space group is P4/mmm (No. 123) and the conventional cell measures 4.460, 4.460 and 5.186 Å, with angles of 90.00, 90.00 and 90.00 degrees. The distinct sites, in fractional coordinates, are Zr at (0.000, 0.000, 0.000), Cu at (0.000, 0.500, 0.500), Si at (0.500, 0.500, 0.000) and Br at (0.000, 0.000, 0.500).

As for the density: 5.25 g/cm3. The density of states at the Fermi level comes out at 2.86 states/eV/cell. The uncorrected formation energy is 807 meV/atom.

(5)
A plane-wave DFT calculation with PBE was carried out for Sm3CuBr3 after structural relaxation.

The space group is I4_132 (No. 214) and the conventional cell measures 11.805, 11.805 and 11.805 Å, with angles of 90.00, 90.00 and 90.00 degrees. The distinct sites, in fractional coordinates, are Sm at (0.113, 0.363, 0.125), Cu at (0.125, 0.125, 0.125) and Br at (0.117, 0.133, 0.625).

As for the density: 6.09 g/cm3. The density of states at the Fermi level comes out at 47.73 states/eV/cell. The uncorrected formation energy is -1135 meV/atom.

(6)
A plane-wave DFT calculation with PBE was carried out for SmCu2Br8 after structural relaxation.

The space group is I422 (No. 97) and the conventional cell measures 7.211, 7.211 and 12.389 Å, with angles of 90.00, 90.00 and 90.00 degrees. The distinct sites, in fractional coordinates, are Sm at (0.000, 0.000, 0.000), Cu at (0.000, 0.500, 0.250) and Br at (0.171, 0.323, 0.883).

As for the density: 4.73 g/cm3. The density of states at the Fermi level comes out at 10.13 states/eV/cell. The uncorrected formation energy is -735 meV/atom.

(7)
A plane-wave DFT calculation with PBE was carried out for Sm7CuBr12 after structural relaxation.

The space group is R-3 (No. 148, hexagonal axes) and the conventional cell measures 15.1372, 15.1372 and 10.0153 Å, with angles of 90.00, 90.00 and 120.00 degrees. The distinct sites, in fractional coordinates, are Sm at (0.0000, 0.0000, 0.0000), Sm at (0.0443, 0.8790, 0.3403), Cu at (0.0000, 0.0000, 0.5000), Br at (0.0261, 0.4398, 0.1621) and Br at (0.0496, 0.8661, 0.8439).

As for the density: 5.20 g/cm3. The density of states at the Fermi level comes out at 24.53 states/eV/cell. The uncorrected formation energy is -1536 meV/atom.

(8)
A plane-wave DFT calculation with PBE was carried out for Sm4CuBr5 after structural relaxation.

The space group is C2/m (No. 12) and the conventional cell measures 18.453, 4.021 and 8.662 Å, with angles of 90.00, 102.58 and 90.00 degrees. The distinct sites, in fractional coordinates, are Sm at (0.001, 0.000, 0.224), Sm at (0.154, 0.500, 0.078), Cu at (0.000, 0.500, 0.000), Br at (0.000, 0.500, 0.500), Br at (0.167, 0.000, 0.335) and Br at (0.173, 0.000, 0.828).

As for the density: 5.64 g/cm3. The density of states at the Fermi level comes out at 12.16 states/eV/cell. The uncorrected formation energy is -1302 meV/atom.

(9)
A plane-wave DFT calculation with PBE was carried out for Sm2CuBr2 after structural relaxation.

The space group is R-3m (No. 166, hexagonal axes) and the conventional cell measures 4.0384, 4.0384 and 33.7683 Å, with angles of 90.00, 90.00 and 120.00 degrees. The distinct sites, in fractional coordinates, are Sm at (0.0000, 0.0000, 0.1153), Cu at (0.0000, 0.0000, 0.5000) and Br at (0.0000, 0.0000, 0.2745).

As for the density: 5.47 g/cm3. The density of states at the Fermi level comes out at 12.16 states/eV/cell. The uncorrected formation energy is -1032 meV/atom.

(10)
A plane-wave DFT calculation with PBE was carried out for SmCuBr6 after structural relaxation.

The space group is P-1 (No. 2) and the conventional cell measures 5.773, 7.173 and 7.856 Å, with angles of 71.84, 74.48 and 86.18 degrees. The distinct sites, in fractional coordinates, are Sm at (0.000, 0.000, 0.000), Cu at (0.500, 0.500, 0.000), Br at (0.024, 0.813, 0.362), Br at (0.271, 0.375, 0.841) and Br at (0.435, 0.821, 0.823).

As for the density: 3.87 g/cm3. The uncorrected formation energy is -916 meV/atom.

(11)
A plane-wave DFT calculation with PBE was carried out for Sm2CuBr8 after structural relaxation.

The space group is C2/m (No. 12) and the conventional cell measures 23.451, 6.576 and 5.703 Å, with angles of 90.00, 97.75 and 90.00 degrees. The distinct sites, in fractional coordinates, are Sm at (0.168, 0.000, 0.458), Cu at (0.000, 0.000, 0.500), Br at (0.068, 0.254, 0.408), Br at (0.175, 0.000, 0.963) and Br at (0.208, 0.500, 0.471).

As for the density: 3.82 g/cm3. The density of states at the Fermi level comes out at 4.65 states/eV/cell. The uncorrected formation energy is -1351 meV/atom.

(12)
A plane-wave DFT calculation with PBE was carried out for Sm6CuBr8 after structural relaxation.

The space group is R-3 (No. 148, hexagonal axes) and the conventional cell measures 7.2249, 7.2249 and 32.5957 Å, with angles of 90.00, 90.00 and 120.00 degrees. The distinct sites, in fractional coordinates, are Sm at (0.0000, 0.3085, 0.0508), Cu at (0.0000, 0.0000, 0.0000), Br at (0.0000, 0.0000, 0.3333) and Br at (0.0001, 0.3430, 0.8943).

As for the density: 5.43 g/cm3. The density of states at the Fermi level comes out at 13.81 states/eV/cell. The uncorrected formation energy is -1335 meV/atom.